# MgZnPb2, optimized geometry, DFT PBE
# DFT formation energy   0.071 eV per atom
# DOS at the Fermi energy   1.7 states/eV/f.u.
# Total magnetic moment   0.000 μB per cell
# Distance to the lowest polymorph of the same formula   61 meV per atom
# Volume   203 Å³ per cell
data_MgZnPb2
_chemical_formula_sum 'Mg2 Zn2 Pb4'
_symmetry_space_group_name_H-M 'I 4/m m m'
_symmetry_Int_Tables_number 139
_symmetry_space_group_name_Hall '-I 4 2'
_cell_length_a 4.746
_cell_length_b 4.746
_cell_length_c 9.005
_cell_angle_alpha 90.00
_cell_angle_beta 90.00
_cell_angle_gamma 90.00
loop_
_atom_site_label
_atom_site_fract_x
_atom_site_fract_y
_atom_site_fract_z
Mg1 0.000 0.000 0.000
Zn1 0.000 0.000 0.500
Pb1 0.000 0.500 0.250